[1]
VASP calculation (PBE) on a geometry-optimized K3SmY2O6 structure.

Values from the calculation:
* ρ: 4.4 Mg/m³
* Fermi-level density of states: 0.0 states/eV/cell
* ΔE_f (raw): -2.717 eV per atom

a b c (Å): 6.1018 10.5693 6.5964
angles (deg): 90.00 107.96 90.00
With the nearest neighbours (Å) after each atom.
Space group C2/m (No. 12)
Symmetry-distinct sites (fractional):
K (0.0000, 0.0000, 0.0000) x2  6 O 2.80-2.84
K (0.0000, 0.3326, 0.0000) x4  6 O 2.80-2.84
Sm (0.0000, 0.5000, 0.5000) x2  6 O 2.38
Y (0.0000, 0.1667, 0.5000) x4  6 O 2.33
O (0.2232, 0.0000, 0.6872) x4  2 Y 2.33, 1 Sm 2.38
O (0.2319, 0.3304, 0.6870) x8  2 Y 2.33, 1 Sm 2.38

=====

[2]
VASP calculation (PBE) on a geometry-optimized K3Sm2YO6 structure.

Values from the calculation:
* ρ: 4.8 Mg/m³
* Fermi-level density of states: 0.0 states/eV/cell
* ΔE_f (raw): -2.690 eV per atom

a b c (Å): 6.1583 10.6674 6.6116
angles (deg): 90.00 108.09 90.00
With the nearest neighbours (Å) after each atom.
Space group C2/m (No. 12)
Symmetry-distinct sites (fractional):
K (0.0000, 0.0000, 0.0000) x2  6 O 2.83-2.87
K (0.0000, 0.3343, 0.0000) x4  6 O 2.82-2.87
Sm (0.0000, 0.1667, 0.5000) x4  6 O 2.38
Y (0.0000, 0.5000, 0.5000) x2  6 O 2.34
O (0.2265, 0.3362, 0.6882) x8  1 Y 2.34, 2 Sm 2.38
O (0.2352, 0.0000, 0.6879) x4  1 Y 2.34, 2 Sm 2.38

=====

Number 1: calculated total energy -6.941 eV per atom. Number 2: calculated total energy -6.769 eV per atom.